{
  "formula": "Cd2FeCl",
  "functional": "PBE",
  "state": "optimized geometry",
  "raw_formation_energy_ev_per_atom": 0.182,
  "e_above_lowest_polymorph_ev_per_atom": 0.153,
  "lattice_angstrom": [[5.1603, -0.0552, -0.0307], [-3.2910, 5.7894, 0.0540], [0.0327, 1.6729, 2.6294]],
  "species": ["Cl", "Cd", "Cd", "Fe"],
  "fractional_positions": [[0.5000, 0.5000, 0.0000], [0.0000, 0.0000, 0.0000], [0.0000, 0.5000, 0.5000], [0.5000, 0.0000, 0.5000]]
}

---

{
  "formula": "CdFe2Cl6",
  "functional": "PBE",
  "state": "optimized geometry",
  "raw_formation_energy_ev_per_atom": -0.787,
  "lattice_angstrom": [[6.7417, -0.2348, -0.2274], [1.6668, 8.4204, 0.1325], [1.6668, 0.4053, 8.4117]],
  "species": ["Fe", "Fe", "Fe", "Fe", "Cl", "Cl", "Cl", "Cl", "Cl", "Cl", "Cl", "Cl", "Cl", "Cl", "Cl", "Cl", "Cd", "Cd"],
  "fractional_positions": [[0.7014, 0.7806, 0.6161], [0.2986, 0.2194, 0.3839], [0.2014, 0.6161, 0.7806], [0.7986, 0.3839, 0.2194], [0.4107, 0.7040, 0.5629], [0.6282, 0.9604, 0.8092], [0.1342, 0.1171, 0.6144], [0.6342, 0.6144, 0.1171], [0.1282, 0.8092, 0.9604], [0.8658, 0.8829, 0.3856], [0.8718, 0.1908, 0.0396], [0.9107, 0.5629, 0.7040], [0.3718, 0.0396, 0.1908], [0.5893, 0.2960, 0.4371], [0.0893, 0.4371, 0.2960], [0.3658, 0.3856, 0.8829], [0.7500, 0.8875, 0.1125], [0.2500, 0.1125, 0.8875]]
}

---

Please write out number 2 again, unchanged.
{
  "formula": "CdFe2Cl6",
  "functional": "PBE",
  "state": "optimized geometry",
  "raw_formation_energy_ev_per_atom": -0.787,
  "lattice_angstrom": [[6.7417, -0.2348, -0.2274], [1.6668, 8.4204, 0.1325], [1.6668, 0.4053, 8.4117]],
  "species": ["Fe", "Fe", "Fe", "Fe", "Cl", "Cl", "Cl", "Cl", "Cl", "Cl", "Cl", "Cl", "Cl", "Cl", "Cl", "Cl", "Cd", "Cd"],
  "fractional_positions": [[0.7014, 0.7806, 0.6161], [0.2986, 0.2194, 0.3839], [0.2014, 0.6161, 0.7806], [0.7986, 0.3839, 0.2194], [0.4107, 0.7040, 0.5629], [0.6282, 0.9604, 0.8092], [0.1342, 0.1171, 0.6144], [0.6342, 0.6144, 0.1171], [0.1282, 0.8092, 0.9604], [0.8658, 0.8829, 0.3856], [0.8718, 0.1908, 0.0396], [0.9107, 0.5629, 0.7040], [0.3718, 0.0396, 0.1908], [0.5893, 0.2960, 0.4371], [0.0893, 0.4371, 0.2960], [0.3658, 0.3856, 0.8829], [0.7500, 0.8875, 0.1125], [0.2500, 0.1125, 0.8875]]
}

---

Which formula does entry 2 have? CdFe2Cl6